(1)
The following is a DFT calculation (PBE) of a geometry-optimized Sc6As3PS2 structure.

Lattice parameters (Å, degrees): 3.800 7.598 8.499 102.99 102.92 90.00
Fractional positions:
As  0.168  0.833  0.336
As  0.500  0.500  0.000
Sc  0.001  0.243  0.001
Sc  0.999  0.757  0.999
P  0.500  0.000  0.000
Sc  0.334  0.417  0.668
Sc  0.337  0.917  0.673
As  0.832  0.167  0.664
S  0.168  0.335  0.335
Sc  0.666  0.583  0.332
S  0.832  0.665  0.665
Sc  0.663  0.083  0.327

uncorrected formation energy: -1.59 eV per atom
DOS at the Fermi energy: 0.327 states/eV per atom
magnetization: 0.00 μB/cell
E_tot: -7.0559 eV per atom
calculated volume: 19.397 A^3/atom
crystal system: monoclinic

=====

(2)
The following is a DFT calculation (PBE) of a geometry-optimized Sc4As2PS structure.

Lattice parameters (Å, degrees): 3.803 6.586 6.580 70.66 90.00 90.00
Fractional positions:
Sc  0.500  0.257  0.745
S  0.500  0.500  0.000
As  0.500  0.000  0.500
As  0.000  0.000  0.000
Sc  0.000  0.746  0.748
Sc  0.000  0.254  0.252
P  0.000  0.500  0.500
Sc  0.500  0.743  0.255

uncorrected formation energy: -1.56 eV per atom
DOS at the Fermi energy: 0.211 states/eV per atom
magnetization: 0.00 μB/cell
E_tot: -7.0825 eV per atom
calculated volume: 19.436 A^3/atom
crystal system: monoclinic

=====

(3)
The following is a DFT calculation (PBE) of a geometry-optimized Sc6As2PS3 structure.

Lattice parameters (Å, degrees): 3.767 7.539 8.440 102.99 102.89 90.00
Fractional positions:
As  0.167  0.334  0.334
S  0.833  0.166  0.665
S  0.500  0.500  0.000
Sc  0.663  0.079  0.326
P  0.500  0.000  0.000
As  0.833  0.666  0.666
Sc  0.335  0.415  0.670
Sc  0.665  0.585  0.330
Sc  0.337  0.921  0.674
Sc  0.001  0.759  0.002
S  0.167  0.834  0.335
Sc  0.999  0.241  0.998

uncorrected formation energy: -1.67 eV per atom
DOS at the Fermi energy: 0.396 states/eV per atom
magnetization: 0.00 μB/cell
E_tot: -7.0979 eV per atom
calculated volume: 18.947 A^3/atom
crystal system: monoclinic

=====

(4)
The following is a DFT calculation (PBE) of a geometry-optimized ScAsP2S structure.

Lattice parameters (Å, degrees): 4.991 4.732 4.991 90.00 90.00 90.00
Fractional positions:
S  0.000  0.500  0.000
P  0.500  0.000  0.000
Sc  0.000  0.000  0.000
P  0.000  0.000  0.500
As  0.500  0.500  0.500

uncorrected formation energy: 0.49 eV per atom
DOS at the Fermi energy: 1.204 states/eV per atom
magnetization: 0.00 μB/cell
ΔE to the lowest computed polymorph: 0.2227 eV per atom
E_tot: -4.6952 eV per atom
calculated volume: 23.576 A^3/atom
crystal system: tetragonal

=====

(5)
The following is a DFT calculation (PBE) of a geometry-optimized Sc6AsP2S3 structure.

Lattice parameters (Å, degrees): 3.744 7.504 8.396 103.11 102.88 90.00
Fractional positions:
Sc  0.330  0.422  0.661
Sc  0.331  0.907  0.663
S  0.834  0.167  0.668
P  0.833  0.666  0.666
Sc  0.669  0.093  0.337
Sc  0.997  0.745  0.994
S  0.166  0.833  0.332
Sc  0.003  0.255  0.006
P  0.167  0.334  0.334
Sc  0.670  0.578  0.339
As  0.500  0.000  0.000
S  0.500  0.500  0.000

uncorrected formation energy: -1.71 eV per atom
DOS at the Fermi energy: 0.391 states/eV per atom
magnetization: 0.00 μB/cell
E_tot: -7.1943 eV per atom
calculated volume: 18.638 A^3/atom
crystal system: monoclinic

=====

(6)
The following is a DFT calculation (PBE) of a geometry-optimized Sc6As2P3S structure.

Lattice parameters (Å, degrees): 3.785 7.587 8.463 102.96 102.92 90.00
Fractional positions:
P  0.166  0.834  0.333
As  0.166  0.332  0.332
Sc  0.333  0.923  0.665
P  0.500  0.500  0.000
P  0.834  0.166  0.667
Sc  0.664  0.588  0.329
Sc  0.667  0.077  0.335
Sc  0.998  0.254  0.995
S  0.500  0.000  0.000
As  0.834  0.668  0.668
Sc  0.002  0.746  0.005
Sc  0.336  0.412  0.671

uncorrected formation energy: -1.55 eV per atom
DOS at the Fermi energy: 0.166 states/eV per atom
magnetization: 0.00 μB/cell
E_tot: -7.1857 eV per atom
calculated volume: 19.210 A^3/atom
crystal system: monoclinic

=====

(7)
The following is a DFT calculation (PBE) of a geometry-optimized Sc8As4PS3 structure.

Lattice parameters (Å, degrees): 7.593 7.593 7.593 120.00 120.00 90.00
Fractional positions:
Sc  0.752  0.745  0.998
Sc  0.246  0.745  0.998
Sc  0.754  0.255  0.002
Sc  0.749  0.748  0.499
S  0.500  0.500  0.500
Sc  0.248  0.255  0.002
S  0.500  0.500  0.000
Sc  0.754  0.255  0.507
As  0.500  0.000  0.500
As  0.000  0.000  0.500
Sc  0.251  0.252  0.501
As  0.500  0.000  0.000
As  0.000  0.000  0.000
Sc  0.246  0.745  0.493
P  0.000  0.500  0.000
S  0.000  0.500  0.500

uncorrected formation energy: -1.61 eV per atom
DOS at the Fermi energy: 0.337 states/eV per atom
magnetization: 0.00 μB/cell
E_tot: -7.0460 eV per atom
calculated volume: 19.345 A^3/atom
crystal system: trigonal

=====

(8)
The following is a DFT calculation (PBE) of a geometry-optimized ScAsPS2 structure.

Lattice parameters (Å, degrees): 4.798 4.798 5.107 90.00 90.00 90.00
Fractional positions:
Sc  0.000  0.000  0.000
S  0.500  0.000  0.000
S  0.000  0.500  0.000
As  0.500  0.500  0.500
P  0.000  0.000  0.500

uncorrected formation energy: 0.22 eV per atom
DOS at the Fermi energy: 0.893 states/eV per atom
magnetization: 0.00 μB/cell
ΔE to the lowest computed polymorph: 0.1580 eV per atom
E_tot: -4.7101 eV per atom
calculated volume: 23.512 A^3/atom
crystal system: tetragonal

=====

(9)
The following is a DFT calculation (PBE) of a geometry-optimized Sc8As3P3S structure.

Lattice parameters (Å, degrees): 7.532 7.532 7.564 119.86 90.00 120.00
Fractional positions:
P  0.500  0.000  0.500
Sc  0.248  0.495  0.741
Sc  0.746  0.993  0.741
Sc  0.254  0.007  0.259
Sc  0.248  0.993  0.741
As  0.000  0.500  0.000
Sc  0.253  0.506  0.260
Sc  0.752  0.007  0.259
Sc  0.752  0.505  0.259
Sc  0.747  0.494  0.740
As  0.500  0.500  0.000
P  0.500  0.500  0.500
P  0.000  0.500  0.500
As  0.000  0.000  0.000
S  0.000  0.000  0.500

uncorrected formation energy: -1.40 eV per atom
DOS at the Fermi energy: 0.466 states/eV per atom
magnetization: 0.00 μB/cell
E_tot: -7.0634 eV per atom
calculated volume: 20.269 A^3/atom
crystal system: trigonal

=====

(10)
The following is a DFT calculation (PBE) of a geometry-optimized ScAsP2S structure.

Lattice parameters (Å, degrees): 4.641 4.641 4.787 90.00 90.00 90.00
Fractional positions:
Sc  0.500  0.500  0.500
P  0.000  0.500  0.000
P  0.500  0.000  0.000
S  0.000  0.000  0.500
As  0.000  0.000  0.000

uncorrected formation energy: 0.27 eV per atom
DOS at the Fermi energy: 0.810 states/eV per atom
magnetization: 0.00 μB/cell
ΔE to the lowest computed polymorph: 0.0000 eV per atom
E_tot: -4.9179 eV per atom
calculated volume: 20.623 A^3/atom
crystal system: tetragonal

=====

(11)
The following is a DFT calculation (PBE) of a geometry-optimized Sc4AsP2S structure.

Lattice parameters (Å, degrees): 3.772 6.538 6.528 70.68 90.00 90.00
Fractional positions:
S  0.000  0.500  0.500
P  0.500  0.000  0.500
As  0.500  0.500  0.000
Sc  0.000  0.758  0.746
P  0.000  0.000  0.000
Sc  0.000  0.242  0.254
Sc  0.500  0.241  0.753
Sc  0.500  0.759  0.247

uncorrected formation energy: -1.60 eV per atom
DOS at the Fermi energy: 0.202 states/eV per atom
magnetization: 0.00 μB/cell
E_tot: -7.2176 eV per atom
calculated volume: 18.988 A^3/atom
crystal system: monoclinic

=====

(12)
The following is a DFT calculation (PBE) of a geometry-optimized ScAsPS2 structure.

Lattice parameters (Å, degrees): 4.709 4.709 4.671 90.00 90.00 90.00
Fractional positions:
As  0.000  0.000  0.000
P  0.000  0.000  0.500
Sc  0.500  0.500  0.500
S  0.000  0.500  0.000
S  0.500  0.000  0.000

uncorrected formation energy: 0.06 eV per atom
DOS at the Fermi energy: 0.567 states/eV per atom
magnetization: 0.00 μB/cell
ΔE to the lowest computed polymorph: 0.0000 eV per atom
E_tot: -4.8681 eV per atom
calculated volume: 20.717 A^3/atom
crystal system: tetragonal